! Dy2NpCdO8, optimized geometry, DFT PBE-GGA; values from VASP
! formation energy without anion corrections = -2.534 eV/atom
! D(E_F) = 4.14 states/eV/f.u.
! space-group type = P-1, No. 2
! size of the total moment = 0.6 μB per cell
&SYSTEM
  ibrav = 0, nat = 12, ntyp = 4
/
ATOMIC_SPECIES
Dy 162.50 Dy.upf
Np 237.00 Np.upf
Cd 112.41 Cd.upf
O 16.00 O.upf
CELL_PARAMETERS angstrom
3.893 0.000 0.000
0.396 5.219 0.000
0.006 0.027 7.696
ATOMIC_POSITIONS crystal
Dy 0.000 0.001 0.253
Dy 0.000 0.999 0.747
Np 0.500 0.500 0.500
Cd 0.500 0.500 0.000
O 0.012 0.761 0.001
O 0.036 0.733 0.500
O 0.471 0.257 0.710
O 0.472 0.259 0.288
O 0.528 0.741 0.712
O 0.529 0.743 0.290
O 0.964 0.267 0.500
O 0.988 0.239 0.999

***

! HfTiGe2Se, optimized geometry, DFT PBE-GGA; values from VASP
! formation energy without anion corrections = 0.484 eV/atom
! D(E_F) = 4.28 states/eV/f.u.
! space-group type = P4/mmm, No. 123
! size of the total moment = 0.0 μB per cell
&SYSTEM
  ibrav = 0, nat = 5, ntyp = 4
/
ATOMIC_SPECIES
Hf 178.49 Hf.upf
Ti 47.87 Ti.upf
Ge 72.64 Ge.upf
Se 78.96 Se.upf
CELL_PARAMETERS angstrom
4.834 0.000 0.000
0.000 4.834 0.000
0.000 0.000 5.079
ATOMIC_POSITIONS crystal
Hf 0.000 0.000 0.000
Ti 0.000 0.000 0.500
Ge 0.000 0.500 0.500
Ge 0.500 0.000 0.500
Se 0.500 0.500 0.000

***

! YZrCl2, optimized geometry, DFT PBE-GGA; values from VASP
! formation energy without anion corrections = -1.145 eV/atom
! D(E_F) = 2.42 states/eV/f.u.
! relative energy among the computed polymorphs = 0.1847 eV/atom
! space-group type = Cm, No. 8
! size of the total moment = 0.8 μB per cell
&SYSTEM
  ibrav = 0, nat = 4, ntyp = 3
/
ATOMIC_SPECIES
Y 88.91 Y.upf
Zr 91.22 Zr.upf
Cl 35.45 Cl.upf
CELL_PARAMETERS angstrom
9.376 -1.695 0.000
9.376 1.695 0.000
-0.030 0.000 3.392
ATOMIC_POSITIONS crystal
Y 0.000 0.000 0.000
Zr 0.632 0.632 0.507
Cl 0.208 0.208 0.011
Cl 0.415 0.415 0.496

***

! K2NaZn2H6, optimized geometry, DFT PBE-GGA; values from VASP
! D(E_F) = 2.12 states/eV/f.u.
! space-group type = C2/m, No. 12
! total DFT energy (no corrections) = -2.51 eV per atom
! size of the total moment = 0.0 μB per cell
&SYSTEM
  ibrav = 0, nat = 11, ntyp = 4
/
ATOMIC_SPECIES
K 39.10 K.upf
Na 22.99 Na.upf
Zn 65.41 Zn.upf
H 1.01 H.upf
CELL_PARAMETERS angstrom
5.125 -2.808 0.000
5.125 2.808 0.000
-3.393 0.000 6.030
ATOMIC_POSITIONS crystal
K 0.205 0.205 0.187
K 0.795 0.795 0.813
Na 0.000 0.000 0.500
Zn 0.461 0.461 0.782
Zn 0.539 0.539 0.218
H 0.206 0.702 0.214
H 0.278 0.278 0.643
H 0.298 0.794 0.786
H 0.702 0.206 0.214
H 0.722 0.722 0.357
H 0.794 0.298 0.786

***

! Ce2CdI, optimized geometry, DFT PBE-GGA; values from VASP
! formation energy without anion corrections = -0.318 eV/atom
! D(E_F) = 16.35 states/eV/f.u.
! relative energy among the computed polymorphs = 0.0742 eV/atom
! space-group type = R-3m, No. 166
! size of the total moment = 2.6 μB per cell
&SYSTEM
  ibrav = 0, nat = 4, ntyp = 3
/
ATOMIC_SPECIES
Ce 140.12 Ce.upf
Cd 112.41 Cd.upf
I 126.90 I.upf
CELL_PARAMETERS angstrom
2.258 1.304 7.307
-2.258 1.304 7.307
0.000 -2.607 7.307
ATOMIC_POSITIONS crystal
Ce 0.250 0.250 0.250
Ce 0.750 0.750 0.750
Cd 0.500 0.500 0.500
I 0.000 0.000 0.000

***

! Sr2CaLa, optimized geometry, DFT PBE-GGA; values from VASP
! D(E_F) = 4.80 states/eV/f.u.
! energy relative to the elements = 0.5 eV/f.u.
! relative energy among the computed polymorphs = 0.0302 eV/atom
! space-group type = C2/m, No. 12
! size of the total moment = 0.0 μB per cell
&SYSTEM
  ibrav = 0, nat = 4, ntyp = 3
/
ATOMIC_SPECIES
Sr 87.62 Sr.upf
Ca 40.08 Ca.upf
La 138.91 La.upf
CELL_PARAMETERS angstrom
3.919 -6.348 0.000
3.919 6.348 0.000
-1.230 0.000 3.642
ATOMIC_POSITIONS crystal
Sr 0.000 0.500 0.000
Sr 0.500 0.000 0.000
Ca 0.000 0.000 0.500
La 0.500 0.500 0.500

***

! NbCrCo4, optimized geometry, DFT PBE-GGA; values from VASP
! D(E_F) = 9.92 states/eV/f.u.
! energy relative to the elements = -0.1 eV/f.u.
! relative energy among the computed polymorphs = 0.0000 eV/atom
! space-group type = F-43m, No. 216
! size of the total moment = 7.4 μB per cell
&SYSTEM
  ibrav = 0, nat = 6, ntyp = 3
/
ATOMIC_SPECIES
Nb 92.91 Nb.upf
Cr 52.00 Cr.upf
Co 58.93 Co.upf
CELL_PARAMETERS angstrom
0.000 3.340 3.340
3.340 0.000 3.340
3.340 3.340 0.000
ATOMIC_POSITIONS crystal
Nb 0.000 0.000 0.000
Cr 0.750 0.750 0.750
Co 0.376 0.376 0.376
Co 0.376 0.376 0.873
Co 0.376 0.873 0.376
Co 0.873 0.376 0.376

***

! Cr2TcP, optimized geometry, DFT PBE-GGA; values from VASP
! D(E_F) = 5.59 states/eV/f.u.
! energy relative to the elements = 0.1 eV/f.u.
! space-group type = P4/mmm, No. 123
! size of the total moment = 0.0 μB per cell
&SYSTEM
  ibrav = 0, nat = 4, ntyp = 3
/
ATOMIC_SPECIES
Cr 52.00 Cr.upf
Tc 98.00 Tc.upf
P 30.97 P.upf
CELL_PARAMETERS angstrom
4.053 0.000 0.000
0.000 4.053 0.000
0.000 0.000 2.989
ATOMIC_POSITIONS crystal
Cr 0.000 0.500 0.000
Cr 0.500 0.000 0.000
Tc 0.000 0.000 0.500
P 0.500 0.500 0.500

***

! NaTiB2, optimized geometry, DFT PBE-GGA; values from VASP
! D(E_F) = 1.88 states/eV/f.u.
! energy relative to the elements = 3.4 eV/f.u.
! relative energy among the computed polymorphs = 0.0000 eV/atom
! space-group type = Fm-3m, No. 225
! size of the total moment = 0.0 μB per cell
&SYSTEM
  ibrav = 0, nat = 4, ntyp = 3
/
ATOMIC_SPECIES
Na 22.99 Na.upf
Ti 47.87 Ti.upf
B 10.81 B.upf
CELL_PARAMETERS angstrom
0.000 2.858 2.858
2.858 0.000 2.858
2.858 2.858 0.000
ATOMIC_POSITIONS crystal
Na 0.000 0.000 0.000
Ti 0.500 0.500 0.500
B 0.250 0.250 0.250
B 0.750 0.750 0.750

***

! CsGa2Ge, optimized geometry, DFT PBE-GGA; values from VASP
! D(E_F) = 1.94 states/eV/f.u.
! energy relative to the elements = 0.2 eV/f.u.
! space-group type = I4_1/amd, No. 141
! size of the total moment = 0.0 μB per cell
&SYSTEM
  ibrav = 0, nat = 8, ntyp = 3
/
ATOMIC_SPECIES
Cs 132.91 Cs.upf
Ga 69.72 Ga.upf
Ge 72.64 Ge.upf
CELL_PARAMETERS angstrom
-2.780 2.780 8.817
2.780 -2.780 8.817
2.780 2.780 -8.817
ATOMIC_POSITIONS crystal
Cs 0.375 0.625 0.750
Cs 0.625 0.375 0.250
Ga 0.000 0.000 0.000
Ga 0.000 0.000 0.500
Ga 0.000 0.500 0.000
Ga 0.500 0.000 0.500
Ge 0.125 0.875 0.250
Ge 0.875 0.125 0.750

***

! Dy3CuGe2, optimized geometry, DFT PBE-GGA; values from VASP
! D(E_F) = 4.78 states/eV/f.u.
! energy relative to the elements = -4.3 eV/f.u.
! space-group type = Pnma, No. 62
! size of the total moment = 0.0 μB per cell
&SYSTEM
  ibrav = 0, nat = 24, ntyp = 3
/
ATOMIC_SPECIES
Dy 162.50 Dy.upf
Cu 63.55 Cu.upf
Ge 72.64 Ge.upf
CELL_PARAMETERS angstrom
11.376 0.000 0.000
0.000 4.216 0.000
0.000 0.000 11.431
ATOMIC_POSITIONS crystal
Dy 0.059 0.250 0.124
Dy 0.123 0.750 0.562
Dy 0.211 0.250 0.804
Dy 0.289 0.750 0.304
Dy 0.377 0.250 0.062
Dy 0.441 0.750 0.624
Dy 0.559 0.250 0.376
Dy 0.623 0.750 0.938
Dy 0.711 0.250 0.696
Dy 0.789 0.750 0.196
Dy 0.877 0.250 0.438
Dy 0.941 0.750 0.876
Cu 0.132 0.250 0.364
Cu 0.368 0.750 0.864
Cu 0.632 0.250 0.136
Cu 0.868 0.750 0.636
Ge 0.020 0.750 0.315
Ge 0.190 0.750 0.997
Ge 0.310 0.250 0.497
Ge 0.480 0.250 0.815
Ge 0.520 0.750 0.185
Ge 0.690 0.750 0.503
Ge 0.810 0.250 0.003
Ge 0.980 0.250 0.685

***

! BaTe2Br, optimized geometry, DFT PBE-GGA; values from VASP
! formation energy without anion corrections = -0.671 eV/atom
! D(E_F) = 7.24 states/eV/f.u.
! relative energy among the computed polymorphs = 0.5613 eV/atom
! space-group type = R-3m, No. 166
! size of the total moment = 0.0 μB per cell
&SYSTEM
  ibrav = 0, nat = 4, ntyp = 3
/
ATOMIC_SPECIES
Ba 137.33 Ba.upf
Te 127.60 Te.upf
Br 79.90 Br.upf
CELL_PARAMETERS angstrom
2.822 1.629 8.151
-2.822 1.629 8.151
0.000 -3.259 8.151
ATOMIC_POSITIONS crystal
Ba 0.000 0.000 0.000
Te 0.386 0.386 0.386
Te 0.614 0.614 0.614
Br 0.500 0.500 0.500

***

! YScBe2V, optimized geometry, DFT PBE-GGA; values from VASP
! D(E_F) = 4.97 states/eV/f.u.
! energy relative to the elements = 3.0 eV/f.u.
! space-group type = P4/mmm, No. 123
! size of the total moment = 0.9 μB per cell
&SYSTEM
  ibrav = 0, nat = 5, ntyp = 4
/
ATOMIC_SPECIES
Y 88.91 Y.upf
Sc 44.96 Sc.upf
Be 9.01 Be.upf
V 50.94 V.upf
CELL_PARAMETERS angstrom
4.599 0.000 0.000
0.000 4.599 0.000
0.000 0.000 4.364
ATOMIC_POSITIONS crystal
Y 0.000 0.000 0.000
Sc 0.500 0.500 0.000
Be 0.000 0.500 0.500
Be 0.500 0.000 0.500
V 0.500 0.500 0.500

***

! LiHgPd, optimized geometry, DFT PBE-GGA; values from VASP
! D(E_F) = 0.87 states/eV/f.u.
! energy relative to the elements = -0.6 eV/f.u.
! relative energy among the computed polymorphs = 0.1505 eV/atom
! space-group type = F-43m, No. 216
! size of the total moment = 0.0 μB per cell
&SYSTEM
  ibrav = 0, nat = 3, ntyp = 3
/
ATOMIC_SPECIES
Li 6.94 Li.upf
Hg 200.59 Hg.upf
Pd 106.42 Pd.upf
CELL_PARAMETERS angstrom
0.000 3.151 3.151
3.151 0.000 3.151
3.151 3.151 0.000
ATOMIC_POSITIONS crystal
Li 0.000 0.000 0.000
Hg 0.500 0.500 0.500
Pd 0.750 0.750 0.750

***

! Cs4CdAu2, optimized geometry, DFT PBE-GGA; values from VASP
! D(E_F) = 2.22 states/eV/f.u.
! energy relative to the elements = -1.5 eV/f.u.
! relative energy among the computed polymorphs = 0.0000 eV/atom
! space-group type = R-3m, No. 166
! size of the total moment = 0.0 μB per cell
&SYSTEM
  ibrav = 0, nat = 7, ntyp = 3
/
ATOMIC_SPECIES
Cs 132.91 Cs.upf
Cd 112.41 Cd.upf
Au 196.97 Au.upf
CELL_PARAMETERS angstrom
3.129 1.807 10.731
-3.129 1.807 10.731
0.000 -3.613 10.731
ATOMIC_POSITIONS crystal
Cs 0.115 0.115 0.115
Cs 0.292 0.292 0.292
Cs 0.708 0.708 0.708
Cs 0.885 0.885 0.885
Cd 0.500 0.500 0.500
Au 0.410 0.410 0.410
Au 0.590 0.590 0.590

***

! CaSc2Nb2, optimized geometry, DFT PBE-GGA; values from VASP
! D(E_F) = 6.58 states/eV/f.u.
! energy relative to the elements = 1.3 eV/f.u.
! space-group type = P4/mbm, No. 127
! size of the total moment = 1.3 μB per cell
&SYSTEM
  ibrav = 0, nat = 10, ntyp = 3
/
ATOMIC_SPECIES
Ca 40.08 Ca.upf
Sc 44.96 Sc.upf
Nb 92.91 Nb.upf
CELL_PARAMETERS angstrom
8.520 0.000 0.000
0.000 8.520 0.000
0.000 0.000 3.287
ATOMIC_POSITIONS crystal
Ca 0.000 0.000 0.000
Ca 0.500 0.500 0.000
Sc 0.184 0.316 0.500
Sc 0.316 0.816 0.500
Sc 0.684 0.184 0.500
Sc 0.816 0.684 0.500
Nb 0.106 0.606 0.000
Nb 0.394 0.106 0.000
Nb 0.606 0.894 0.000
Nb 0.894 0.394 0.000

***

! DyTm2Sb, optimized geometry, DFT PBE-GGA; values from VASP
! formation energy without anion corrections = -0.447 eV/atom
! D(E_F) = 5.29 states/eV/f.u.
! relative energy among the computed polymorphs = 0.0904 eV/atom
! space-group type = P4/mmm, No. 123
! size of the total moment = 0.0 μB per cell
&SYSTEM
  ibrav = 0, nat = 4, ntyp = 3
/
ATOMIC_SPECIES
Dy 162.50 Dy.upf
Tm 168.93 Tm.upf
Sb 121.76 Sb.upf
CELL_PARAMETERS angstrom
4.745 0.000 0.000
0.000 4.745 0.000
0.000 0.000 4.731
ATOMIC_POSITIONS crystal
Dy 0.000 0.000 0.000
Tm 0.000 0.500 0.500
Tm 0.500 0.000 0.500
Sb 0.500 0.500 0.000

***

! BaCu2Te, optimized geometry, DFT PBE-GGA; values from VASP
! formation energy without anion corrections = 0.059 eV/atom
! D(E_F) = 2.47 states/eV/f.u.
! space-group type = I-4m2, No. 119
! size of the total moment = 0.0 μB per cell
&SYSTEM
  ibrav = 0, nat = 4, ntyp = 3
/
ATOMIC_SPECIES
Ba 137.33 Ba.upf
Cu 63.55 Cu.upf
Te 127.60 Te.upf
CELL_PARAMETERS angstrom
-2.150 2.150 5.648
2.150 -2.150 5.648
2.150 2.150 -5.648
ATOMIC_POSITIONS crystal
Ba 0.000 0.000 0.000
Cu 0.250 0.750 0.500
Cu 0.500 0.500 0.000
Te 0.750 0.250 0.500

***

! Ce4GeH, optimized geometry, DFT PBE-GGA; values from VASP
! D(E_F) = 12.78 states/eV/f.u.
! space-group type = C2/c, No. 15
! total DFT energy (no corrections) = -5.65 eV per atom
! size of the total moment = 0.8 μB per cell
&SYSTEM
  ibrav = 0, nat = 12, ntyp = 3
/
ATOMIC_SPECIES
Ce 140.12 Ce.upf
Ge 72.64 Ge.upf
H 1.01 H.upf
CELL_PARAMETERS angstrom
3.564 -7.239 0.000
3.564 7.239 0.000
-2.550 0.000 5.145
ATOMIC_POSITIONS crystal
Ce 0.145 0.729 0.938
Ce 0.163 0.304 0.641
Ce 0.271 0.855 0.562
Ce 0.304 0.163 0.141
Ce 0.696 0.837 0.859
Ce 0.729 0.145 0.438
Ce 0.837 0.696 0.359
Ce 0.855 0.271 0.062
Ge 0.392 0.608 0.250
Ge 0.608 0.392 0.750
H 0.007 0.993 0.750
H 0.993 0.007 0.250

***

! Ni2AuSe, optimized geometry, DFT PBE-GGA; values from VASP
! formation energy without anion corrections = 0.199 eV/atom
! D(E_F) = 6.43 states/eV/f.u.
! space-group type = R3m, No. 160
! size of the total moment = 0.6 μB per cell
&SYSTEM
  ibrav = 0, nat = 4, ntyp = 3
/
ATOMIC_SPECIES
Ni 58.69 Ni.upf
Au 196.97 Au.upf
Se 78.96 Se.upf
CELL_PARAMETERS angstrom
1.443 0.833 8.857
-1.443 0.833 8.857
0.000 -1.666 8.857
ATOMIC_POSITIONS crystal
Ni 0.000 0.000 0.000
Ni 0.264 0.264 0.264
Au 0.517 0.517 0.517
Se 0.729 0.729 0.729